Entry 1:
Entry from Alexandria via LeMat-Bulk: a relaxed Hf3InH crystal (PBE).

Properties
- Calculated total energy: -7.420 eV/atom
- Fermi-level density of states: 5.62 states/eV per cell

```
Hf3InH
1.0
5.645 0.000 0.003
0.001 6.130 0.001
2.328 -0.001 5.143
H Hf In
2 6 2
Direct
0.028 0.733 0.754
0.606 0.733 0.333
0.317 0.477 0.543
0.817 0.733 0.543
0.317 0.988 0.543
0.317 0.233 0.043
0.817 0.988 0.043
0.817 0.477 0.043
0.817 0.233 0.543
0.317 0.733 0.043
```


Entry 2:
Entry from Alexandria via LeMat-Bulk: a relaxed Hf3InH crystal (PBE).

Properties
- Calculated total energy: -6.970 eV/atom
- Fermi-level density of states: 13.65 states/eV per cell

```
Hf3InH
1.0
6.562 -4.622 2.242
-0.126 -4.201 7.196
-0.552 -8.315 -0.039
H Hf In
4 12 4
Direct
0.125 0.125 0.125
0.125 0.625 0.125
0.625 0.125 0.125
0.125 0.125 0.625
0.809 0.191 0.191
0.059 0.441 0.441
0.441 0.441 0.059
0.441 0.059 0.059
0.059 0.441 0.059
0.809 0.191 0.809
0.441 0.059 0.441
0.059 0.059 0.441
0.191 0.809 0.191
0.191 0.809 0.809
0.191 0.191 0.809
0.809 0.809 0.191
0.625 0.625 0.625
0.625 0.125 0.625
0.125 0.625 0.625
0.625 0.625 0.125
```


Entry 3:
Entry from Alexandria via LeMat-Bulk: a relaxed Hf3InH crystal (PBE).

Properties
- Calculated total energy: -7.407 eV/atom
- Fermi-level density of states: 5.87 states/eV per cell

```
Hf3InH
1.0
-0.353 -4.241 -2.933
1.534 -3.512 3.450
-6.468 -0.851 2.009
H Hf In
2 6 2
Direct
0.613 0.485 0.981
0.613 0.985 0.234
0.866 0.729 0.394
0.877 0.229 0.137
0.865 0.731 0.881
0.360 0.241 0.394
0.349 0.740 0.137
0.361 0.239 0.881
0.864 0.230 0.635
0.362 0.740 0.635
```


Entry 4:
Entry from Alexandria via LeMat-Bulk: a relaxed Hf3InH crystal (PBE).

Properties
- Calculated total energy: -7.399 eV/atom
- Fermi-level density of states: 6.61 states/eV per cell

```
Hf3InH
1.0
5.165 0.020 0.000
-0.867 5.092 0.000
0.000 0.000 6.827
H Hf In
2 6 2
Direct
0.663 0.485 0.234
0.163 0.985 0.028
0.916 0.738 0.391
0.913 0.235 0.131
0.910 0.732 0.870
0.409 0.231 0.391
0.413 0.735 0.131
0.416 0.238 0.870
0.913 0.235 0.631
0.413 0.735 0.631
```